Compound: CeZr3Sc7
Source: the Alexandria database
Functional: PBE
Structure: optimized geometry

Lattice parameters (Å, degrees): 6.4420 6.4420 7.7882 90.00 90.00 120.00
Space group P3m1 (No. 156)
Symmetry-distinct sites (fractional):
Ce (0.0000, 0.0000, 0.0000) (multiplicity 1)
Zr (0.1648, 0.3296, 0.6580) (multiplicity 3)
Sc (0.0005, 0.5002, 0.9817) (multiplicity 3)
Sc (0.3300, 0.1650, 0.3329) (multiplicity 3)
Sc (0.3333, 0.6667, 0.3260) (multiplicity 1)

## Properties
Energy of formation from the pure elements in eV per atom: 0.24
VASP energy in eV/atom: -6.66
Volume in Å³/cell: 279.9

---

Compound: LiSe
Source: the Alexandria database
Functional: PBE
Structure: optimized geometry

Lattice parameters (Å, degrees): 11.2159 11.2159 3.4502 90.00 90.00 90.00
Space group I4/m (No. 87)
Symmetry-distinct sites (fractional):
Li (0.0771, 0.7349, 0.0000) (multiplicity 8)
Se (0.1499, 0.2792, 0.0000) (multiplicity 8)

## Properties
Energy relative to the lowest polymorph listed for this composition in meV/atom: 370
VASP energy in eV/atom: -3.24
Formation energy without anion corrections in eV per atom: -0.539
Volume in Å³/cell: 434.0

---

Compound: PbI
Source: the Alexandria database
Functional: PBE
Structure: optimized geometry

Lattice parameters (Å, degrees): 12.9684 12.9684 3.9061 90.00 90.00 90.00
Space group I4/m (No. 87)
Symmetry-distinct sites (fractional):
Pb (0.0843, 0.1838, 0.0000) (multiplicity 8)
I (0.1202, 0.6763, 0.0000) (multiplicity 8)

## Properties
VASP energy in eV/atom: -2.76
Formation energy without anion corrections in eV per atom: -0.126
Volume in Å³/cell: 656.9